(1)
Compound: Tl15CdHg4
Source: Alexandria via LeMat-Bulk
Functional: PBE-GGA
Structure: relaxed

Geometry as POSCAR:
```
Tl15CdHg4
1.0
4.8581 0.0000 0.0000
0.0000 4.8581 0.0000
0.0000 0.0000 24.7696
Tl Cd Hg
15 1 4
Direct
0.0000 0.0000 0.0000 Tl
0.0000 0.0000 0.1987 Tl
0.0000 0.0000 0.4003 Tl
0.0000 0.0000 0.5997 Tl
0.0000 0.0000 0.8013 Tl
0.0000 0.5000 0.0978 Tl
0.0000 0.5000 0.3003 Tl
0.0000 0.5000 0.5000 Tl
0.0000 0.5000 0.6997 Tl
0.0000 0.5000 0.9022 Tl
0.5000 0.0000 0.0978 Tl
0.5000 0.0000 0.3003 Tl
0.5000 0.0000 0.5000 Tl
0.5000 0.0000 0.6997 Tl
0.5000 0.0000 0.9022 Tl
0.5000 0.5000 0.0000 Cd
0.5000 0.5000 0.1991 Hg
0.5000 0.5000 0.4000 Hg
0.5000 0.5000 0.6000 Hg
0.5000 0.5000 0.8009 Hg
```

Output
Energy of formation from the pure elements: 0.0192 eV per atom
D(E_F): 0.42 states/eV/atom



(2)
Compound: Ag2WCl
Source: Alexandria via LeMat-Bulk
Functional: PBE-GGA
Structure: relaxed

Geometry as POSCAR:
```
Ag2WCl
1.0
8.7507 0.0000 0.0000
0.0000 2.8492 0.0000
-0.8183 0.0000 5.7026
Ag W Cl
4 2 2
Direct
0.0000 0.0000 0.0000 Ag
0.2494 0.0000 0.7676 Ag
0.5000 0.5000 0.0000 Ag
0.7494 0.5000 0.7676 Ag
0.2417 0.5000 0.3002 W
0.7417 0.0000 0.3002 W
0.4824 0.0000 0.4410 Cl
0.9824 0.5000 0.4410 Cl
```

Output
Formation energy (no corrections): 660 meV/atom
D(E_F): 0.57 states/eV/atom



(3)
Compound: Dy2Ho7Th2
Source: Alexandria via LeMat-Bulk
Functional: PBE-GGA
Structure: relaxed

Geometry as POSCAR:
```
Dy2Ho7Th2
1.0
5.5324 -5.7003 0.0000
5.5324 5.7003 0.0000
-2.4174 0.0000 5.5856
Dy Ho Th
2 7 2
Direct
0.2157 0.7843 0.0000 Dy
0.7843 0.2157 0.0000 Dy
0.0000 0.0000 0.5000 Ho
0.0641 0.5885 0.3276 Ho
0.2372 0.2372 0.0807 Ho
0.4115 0.9359 0.6724 Ho
0.5885 0.0641 0.3276 Ho
0.7628 0.7628 0.9193 Ho
0.9359 0.4115 0.6724 Ho
0.4158 0.4158 0.6927 Th
0.5842 0.5842 0.3073 Th
```

Output
Energy of formation from the pure elements: 0.1804 eV per atom
D(E_F): 1.54 states/eV/atom



Ρ / g cm⁻³: 11.31 10.16 9.16